Record 1
First-principles (GGA-PBE) data for a relaxed structure of Ba2CdBi, as listed in Alexandria.

Cell: 4.7641 5.4200 12.8723 Å, 90.01 100.66 90.00°
Sites, in units of the cell vectors:
1 Ba 0.8117 0.7498 0.6222
2 Ba 0.1883 0.2502 0.3778
3 Ba 0.0525 0.7504 0.1056
4 Ba 0.9475 0.2496 0.8944
5 Cd 0.3362 0.2498 0.6716
6 Cd 0.6638 0.7502 0.3284
7 Bi 0.5770 0.2506 0.1549
8 Bi 0.4230 0.7494 0.8451

Calculated values
Excess energy over the best structure of this formula in the dataset (meV/atom): 34.6
Formation energy from the elements (meV per atom): -601
Space-group type: P2_1/m
V (A^3/atom): 40.8

Record 2
First-principles (GGA-PBE) data for a relaxed structure of Ba2CdBi, as listed in Alexandria.

Cell: 4.6831 5.8180 5.8180 Å, 90.00 90.00 90.00°
Sites, in units of the cell vectors:
1 Cd 0.5000 0.5000 0.5000
2 Bi 0.5000 0.0000 0.0000
3 Ba 0.0000 0.0000 0.5000
4 Ba 0.0000 0.5000 0.0000

Calculated values
Excess energy over the best structure of this formula in the dataset (meV/atom): 0.0
Formation energy from the elements (meV per atom): -636
Space-group type: P4/mmm
V (A^3/atom): 39.6

Record 3
First-principles (GGA-PBE) data for a relaxed structure of Ba2CdBi4, as listed in Alexandria.

Cell: 5.7553 5.7553 9.6829 Å, 72.71 72.71 90.00°
Sites, in units of the cell vectors:
1 Cd 0.0000 0.0000 0.0000
2 Bi 0.1627 0.1627 0.6747
3 Bi 0.8373 0.8373 0.3253
4 Bi 0.0000 0.5000 0.0000
5 Bi 0.5000 0.0000 0.0000
6 Ba 0.3643 0.3643 0.2713
7 Ba 0.6357 0.6357 0.7287

Calculated values
Excess energy over the best structure of this formula in the dataset (meV/atom): 245.4
Formation energy from the elements (meV per atom): -215
Space-group type: I4/mmm
V (A^3/atom): 41.6

Which formula does entry 3 have?
Ba2CdBi4

Please write out number 1 again, unchanged.
First-principles (GGA-PBE) data for a relaxed structure of Ba2CdBi, as listed in Alexandria.

Cell: 4.7641 5.4200 12.8723 Å, 90.01 100.66 90.00°
Sites, in units of the cell vectors:
1 Ba 0.8117 0.7498 0.6222
2 Ba 0.1883 0.2502 0.3778
3 Ba 0.0525 0.7504 0.1056
4 Ba 0.9475 0.2496 0.8944
5 Cd 0.3362 0.2498 0.6716
6 Cd 0.6638 0.7502 0.3284
7 Bi 0.5770 0.2506 0.1549
8 Bi 0.4230 0.7494 0.8451

Calculated values
Excess energy over the best structure of this formula in the dataset (meV/atom): 34.6
Formation energy from the elements (meV per atom): -601
Space-group type: P2_1/m
V (A^3/atom): 40.8